[1]
{
  "formula": "K2MgTe",
  "functional": "PBE",
  "state": "optimized geometry",
  "relative_energy_ev_per_atom": 0.038,
  "e_form_raw_mev_per_atom": -495.1,
  "lattice": [[-2.164, 2.845, 6.670], [2.164, -2.845, 6.670], [2.164, 2.845, -6.670]],
  "species": ["K", "K", "Mg", "Te"],
  "fractional_positions": [[0.000, 0.000, 0.000], [0.684, 0.184, 0.500], [0.303, 0.803, 0.500], [0.454, 0.454, 0.000]]
}

[2]
{
  "formula": "KMgTe2",
  "functional": "PBE",
  "state": "optimized geometry",
  "e_form_raw_mev_per_atom": -573.2,
  "lattice": [[-2.182, 3.315, 4.604], [2.182, -3.315, 4.604], [2.182, 3.315, -4.604]],
  "species": ["K", "Mg", "Te", "Te"],
  "fractional_positions": [[0.000, 0.000, 0.000], [0.500, 0.500, 0.000], [0.291, 0.791, 0.500], [0.709, 0.209, 0.500]]
}

[3]
{
  "formula": "KMg4Te",
  "functional": "PBE",
  "state": "optimized geometry",
  "e_form_raw_mev_per_atom": 22.6,
  "lattice": [[0.000, 4.425, 4.425], [4.425, 0.000, 4.425], [4.425, 4.425, 0.000]],
  "species": ["K", "Mg", "Mg", "Mg", "Mg", "Te"],
  "fractional_positions": [[0.000, 0.000, 0.000], [0.128, 0.624, 0.624], [0.624, 0.128, 0.624], [0.624, 0.624, 0.128], [0.624, 0.624, 0.624], [0.250, 0.250, 0.250]]
}